The following is a PBE-GGA calculation of a relaxed La2TlSe crystal, from Alexandria.

Cell lengths 4.277, 4.277, 8.444 Å; angles 75.38, 75.38, 59.94 degrees
Sites, in units of the cell vectors:
Tl 0.250 0.250 0.250
La 0.491 0.491 0.527
Se 0.750 0.750 0.750
La 0.009 0.009 0.973

## Properties
DFT total energy = -5.072 eV/atom
space group = C2/m, No. 12
ΔE_f (raw) = -4.581 eV per formula unit
density of states at the Fermi level = 2.5 states/eV/f.u.

=====

The following is a PBE-GGA calculation of a relaxed LaTlSe crystal, from Alexandria.

Cell lengths 5.021, 5.021, 4.500 Å; angles 90.00, 90.00, 120.00 degrees
Sites, in units of the cell vectors:
Se 0.667 0.333 0.167
La 0.000 0.000 0.166
Tl 0.333 0.667 0.667

## Properties
DFT total energy = -4.399 eV/atom
space group = P3m1, No. 156
ΔE_f (raw) = -2.420 eV per formula unit
density of states at the Fermi level = 4.0 states/eV/f.u.

=====

The following is a PBE-GGA calculation of a relaxed La2TlSe crystal, from Alexandria.

Cell lengths 4.154, 4.154, 8.911 Å; angles 76.52, 76.52, 60.00 degrees
Sites, in units of the cell vectors:
La 0.262 0.262 0.213
La 0.071 0.071 0.787
Tl 0.499 0.499 0.502
Se 0.667 0.667 0.998

## Properties
DFT total energy = -5.010 eV/atom
space group = R3m, No. 160
ΔE_f (raw) = -4.335 eV per formula unit
density of states at the Fermi level = 5.0 states/eV/f.u.

=====

The following is a PBE-GGA calculation of a relaxed LaTlSe crystal, from Alexandria.

Cell lengths 5.005, 5.005, 9.211 Å; angles 74.24, 74.24, 60.00 degrees
Sites, in units of the cell vectors:
Tl 0.149 0.149 0.552
Se 0.710 0.710 0.869
Tl 0.851 0.851 0.448
La 0.595 0.595 0.216
La 0.405 0.405 0.784
Se 0.290 0.290 0.131

## Properties
DFT total energy = -4.714 eV/atom
space group = R-3m, No. 166
ΔE_f (raw) = -3.364 eV per formula unit
density of states at the Fermi level = 1.6 states/eV/f.u.

=====

The energy above the lowest structure with this stoichiometry results, record by record, are as follows: 0.0; 30.3; 6.0; 0.0 kJ/mol of atoms.